An optimized crystal structure of KPrPd, computed with PBE.

```
3
Lattice="0.000 3.640 3.640 3.640 0.000 3.640 3.640 3.640 0.000" Properties=species:S:1:pos:R:3 pbc="T T T"
K 1.820 1.820 1.820
Pd 0.000 0.000 0.000
Pr 5.461 5.461 5.461
```

Properties
- theoretical density (g/cm3) = 4.93
- magnetization (μB/f.u.) = 0.00
- calculated total energy (eV/atom) = -3.665
- crystal system = cubic